Pr2GaCoH | PBE | optimized geometry

Lattice parameters (Å, degrees): 6.1453 4.2512 7.9405 90.00 104.65 90.00
Fractional coordinates of all 10 atoms:
Pr  0.2279  0.2500  0.4139
Pr  0.2386  0.2500  0.9700
Pr  0.7614  0.7500  0.0300
Pr  0.7721  0.7500  0.5861
Ga  0.3315  0.7500  0.7098
Ga  0.6685  0.2500  0.2902
Co  0.4496  0.7500  0.2364
Co  0.5504  0.2500  0.7636
H  0.1743  0.7500  0.1763
H  0.8257  0.2500  0.8237

ρ (g/cm3): 6.81
Symmetry: P2_1/m (11)
Electronic total energy (eV per atom): -5.00